(1)
# HgAuCl GGA-PBE optimized geometry
# ΔE to the lowest computed polymorph: 0.30 eV/f.u.
# Uncorrected energy: -1.816 eV/atom
# Crystal system: orthorhombic
# E_form (uncorrected): -7 meV per atom
data_HgAuCl
_chemical_formula_sum 'Hg4 Au4 Cl4'
_space_group_name_H-M_alt 'F m m 2'
_space_group_IT_number 42
_space_group_name_Hall 'F 2 -2'
_cell_length_a 3.761
_cell_length_b 6.512
_cell_length_c 12.209
_cell_angle_alpha 90.00
_cell_angle_beta 90.00
_cell_angle_gamma 90.00
loop_
_atom_site_label
_atom_site_type_symbol
_atom_site_fract_x
_atom_site_fract_y
_atom_site_fract_z
Hg1 Hg 0.000 0.000 0.000
Au1 Au 0.000 0.000 0.338
Cl1 Cl 0.000 0.000 0.683

(2)
# Hg3AuCl GGA-PBE optimized geometry
# ΔE to the lowest computed polymorph: 0.30 eV/f.u.
# Uncorrected energy: -1.311 eV/atom
# Crystal system: cubic
# E_form (uncorrected): -106 meV per atom
data_Hg3AuCl
_chemical_formula_sum 'Hg3 Au1 Cl1'
_space_group_name_H-M_alt 'P m -3 m'
_space_group_IT_number 221
_space_group_name_Hall '-P 4 2 3'
_cell_length_a 5.390
_cell_length_b 5.390
_cell_length_c 5.390
_cell_angle_alpha 90.00
_cell_angle_beta 90.00
_cell_angle_gamma 90.00
loop_
_atom_site_label
_atom_site_type_symbol
_atom_site_fract_x
_atom_site_fract_y
_atom_site_fract_z
Hg1 Hg 0.000 0.000 0.500
Au1 Au 0.000 0.000 0.000
Cl1 Cl 0.500 0.500 0.500

(3)
# Hg3AuCl GGA-PBE optimized geometry
# ΔE to the lowest computed polymorph: 0.00 eV/f.u.
# Uncorrected energy: -1.371 eV/atom
# Crystal system: monoclinic
# E_form (uncorrected): -165 meV per atom
data_Hg3AuCl
_chemical_formula_sum 'Hg12 Au4 Cl4'
_space_group_name_H-M_alt 'C 1 2/m 1'
_space_group_IT_number 12
_space_group_name_Hall '-C 2y'
_cell_length_a 11.749
_cell_length_b 8.540
_cell_length_c 7.023
_cell_angle_alpha 90.00
_cell_angle_beta 126.62
_cell_angle_gamma 90.00
loop_
_atom_site_label
_atom_site_type_symbol
_atom_site_fract_x
_atom_site_fract_y
_atom_site_fract_z
Hg1 Hg 0.013 0.249 0.264
Hg2 Hg 0.249 0.500 0.958
Au1 Au 0.000 0.000 0.000
Au2 Au 0.000 0.500 0.500
Cl1 Cl 0.247 0.500 0.342

(4)
# K2HgAuCl6 GGA-PBE optimized geometry
# Uncorrected energy: -2.731 eV/atom
# Crystal system: triclinic
# E_form (uncorrected): -1046 meV per atom
data_K2HgAuCl6
_chemical_formula_sum 'K2 Hg1 Au1 Cl6'
_space_group_name_H-M_alt 'P -1'
_space_group_IT_number 2
_space_group_name_Hall '-P 1'
_cell_length_a 6.815
_cell_length_b 6.841
_cell_length_c 8.172
_cell_angle_alpha 69.34
_cell_angle_beta 69.09
_cell_angle_gamma 63.67
loop_
_atom_site_label
_atom_site_type_symbol
_atom_site_fract_x
_atom_site_fract_y
_atom_site_fract_z
K1 K 0.210 0.207 0.314
Hg1 Hg 0.000 0.000 0.000
Au1 Au 0.500 0.500 0.500
Cl1 Cl 0.201 0.682 0.336
Cl2 Cl 0.223 0.219 0.912
Cl3 Cl 0.314 0.801 0.663

(5)
# KHgAuCl6 GGA-PBE optimized geometry
# Uncorrected energy: -2.417 eV/atom
# Crystal system: trigonal
# E_form (uncorrected): -666 meV per atom
data_KHgAuCl6
_chemical_formula_sum 'K1 Hg1 Au1 Cl6'
_space_group_name_H-M_alt 'P 3 1 2'
_space_group_IT_number 149
_space_group_name_Hall 'P 3 2'
_cell_length_a 6.8445
_cell_length_b 6.8445
_cell_length_c 6.8763
_cell_angle_alpha 90.00
_cell_angle_beta 90.00
_cell_angle_gamma 120.00
loop_
_atom_site_label
_atom_site_type_symbol
_atom_site_fract_x
_atom_site_fract_y
_atom_site_fract_z
K1 K 0.0000 0.0000 0.0000
Hg1 Hg 0.3333 0.6667 0.5000
Au1 Au 0.6667 0.3333 0.5000
Cl1 Cl 0.3795 0.0203 0.7140

(6)
# KHg2AuCl8 GGA-PBE optimized geometry
# Uncorrected energy: -2.382 eV/atom
# Crystal system: triclinic
# E_form (uncorrected): -736 meV per atom
data_KHg2AuCl8
_chemical_formula_sum 'K1 Hg2 Au1 Cl8'
_space_group_name_H-M_alt 'P -1'
_space_group_IT_number 2
_space_group_name_Hall '-P 1'
_cell_length_a 6.882
_cell_length_b 7.465
_cell_length_c 8.573
_cell_angle_alpha 85.75
_cell_angle_beta 74.34
_cell_angle_gamma 86.45
loop_
_atom_site_label
_atom_site_type_symbol
_atom_site_fract_x
_atom_site_fract_y
_atom_site_fract_z
K1 K 0.000 0.000 0.000
Hg1 Hg 0.491 0.539 0.269
Au1 Au 0.000 0.000 0.500
Cl1 Cl 0.223 0.894 0.650
Cl2 Cl 0.238 0.911 0.266
Cl3 Cl 0.261 0.403 0.490
Cl4 Cl 0.284 0.357 0.971

(7)
# MgHgAuCl2 GGA-PBE optimized geometry
# Uncorrected energy: -2.332 eV/atom
# Crystal system: tetragonal
# E_form (uncorrected): -558 meV per atom
data_MgHgAuCl2
_chemical_formula_sum 'Mg1 Hg1 Au1 Cl2'
_space_group_name_H-M_alt 'P 4/m m m'
_space_group_IT_number 123
_space_group_name_Hall '-P 4 2'
_cell_length_a 4.584
_cell_length_b 4.584
_cell_length_c 7.966
_cell_angle_alpha 90.00
_cell_angle_beta 90.00
_cell_angle_gamma 90.00
loop_
_atom_site_label
_atom_site_type_symbol
_atom_site_fract_x
_atom_site_fract_y
_atom_site_fract_z
Mg1 Mg 0.000 0.000 0.000
Hg1 Hg 0.000 0.000 0.500
Au1 Au 0.500 0.500 0.500
Cl1 Cl 0.000 0.500 0.000

(8)
# MgHg2AuCl GGA-PBE optimized geometry
# Uncorrected energy: -1.516 eV/atom
# Crystal system: tetragonal
# E_form (uncorrected): -52 meV per atom
data_MgHg2AuCl
_chemical_formula_sum 'Mg1 Hg2 Au1 Cl1'
_space_group_name_H-M_alt 'P 4/m m m'
_space_group_IT_number 123
_space_group_name_Hall '-P 4 2'
_cell_length_a 5.651
_cell_length_b 5.651
_cell_length_c 4.646
_cell_angle_alpha 90.00
_cell_angle_beta 90.00
_cell_angle_gamma 90.00
loop_
_atom_site_label
_atom_site_type_symbol
_atom_site_fract_x
_atom_site_fract_y
_atom_site_fract_z
Mg1 Mg 0.000 0.000 0.000
Hg1 Hg 0.000 0.500 0.000
Au1 Au 0.500 0.500 0.500
Cl1 Cl 0.000 0.000 0.500

(9)
# HgAuNCl2 GGA-PBE optimized geometry
# Uncorrected energy: -2.388 eV/atom
# Crystal system: tetragonal
# E_form (uncorrected): 731 meV per atom
data_HgAuNCl2
_chemical_formula_sum 'Hg1 Au1 N1 Cl2'
_space_group_name_H-M_alt 'P 4/m m m'
_space_group_IT_number 123
_space_group_name_Hall '-P 4 2'
_cell_length_a 5.428
_cell_length_b 5.428
_cell_length_c 3.802
_cell_angle_alpha 90.00
_cell_angle_beta 90.00
_cell_angle_gamma 90.00
loop_
_atom_site_label
_atom_site_type_symbol
_atom_site_fract_x
_atom_site_fract_y
_atom_site_fract_z
Hg1 Hg 0.000 0.000 0.000
Au1 Au 0.500 0.500 0.000
N1 N 0.500 0.500 0.500
Cl1 Cl 0.000 0.500 0.500

(10)
# Hg4AuCl2O GGA-PBE optimized geometry
# Uncorrected energy: -1.750 eV/atom
# Crystal system: monoclinic
# E_form (uncorrected): -108 meV per atom
data_Hg4AuCl2O
_chemical_formula_sum 'Hg16 Au4 Cl8 O4'
_space_group_name_H-M_alt 'C 1 2/c 1'
_space_group_IT_number 15
_space_group_name_Hall '-C 2yc'
_cell_length_a 10.651
_cell_length_b 12.740
_cell_length_c 7.526
_cell_angle_alpha 90.00
_cell_angle_beta 131.78
_cell_angle_gamma 90.00
loop_
_atom_site_label
_atom_site_type_symbol
_atom_site_fract_x
_atom_site_fract_y
_atom_site_fract_z
Hg1 Hg 0.002 0.224 0.473
Hg2 Hg 0.244 0.056 0.488
Au1 Au 0.000 0.000 0.000
Cl1 Cl 0.000 0.500 0.000
Cl2 Cl 0.250 0.250 0.000
O1 O 0.250 0.250 0.500

(11)
# HgP2AuCl GGA-PBE optimized geometry
# ΔE to the lowest computed polymorph: 0.00 eV/f.u.
# Uncorrected energy: -2.497 eV/atom
# Crystal system: tetragonal
# E_form (uncorrected): 752 meV per atom
data_HgP2AuCl
_chemical_formula_sum 'Hg1 P2 Au1 Cl1'
_space_group_name_H-M_alt 'P 4/m m m'
_space_group_IT_number 123
_space_group_name_Hall '-P 4 2'
_cell_length_a 4.868
_cell_length_b 4.868
_cell_length_c 5.241
_cell_angle_alpha 90.00
_cell_angle_beta 90.00
_cell_angle_gamma 90.00
loop_
_atom_site_label
_atom_site_type_symbol
_atom_site_fract_x
_atom_site_fract_y
_atom_site_fract_z
Hg1 Hg 0.000 0.000 0.000
P1 P 0.000 0.500 0.500
Au1 Au 0.500 0.500 0.500
Cl1 Cl 0.500 0.500 0.000

(12)
# HgPAuCl2 GGA-PBE optimized geometry
# ΔE to the lowest computed polymorph: 0.00 eV/f.u.
# Uncorrected energy: -2.211 eV/atom
# Crystal system: tetragonal
# E_form (uncorrected): 325 meV per atom
data_HgPAuCl2
_chemical_formula_sum 'Hg1 P1 Au1 Cl2'
_space_group_name_H-M_alt 'P 4/m m m'
_space_group_IT_number 123
_space_group_name_Hall '-P 4 2'
_cell_length_a 5.096
_cell_length_b 5.096
_cell_length_c 4.948
_cell_angle_alpha 90.00
_cell_angle_beta 90.00
_cell_angle_gamma 90.00
loop_
_atom_site_label
_atom_site_type_symbol
_atom_site_fract_x
_atom_site_fract_y
_atom_site_fract_z
Hg1 Hg 0.000 0.000 0.000
P1 P 0.500 0.500 0.000
Au1 Au 0.500 0.500 0.500
Cl1 Cl 0.000 0.500 0.500

no.,Fermi-level density of states (states/eV/f.u.)
1,0.74
2,1.17
3,0.70
4,3.03
5,0.65
6,0.00
7,1.56
8,1.74
9,3.89
10,2.29
11,4.02
12,2.24